A plane-wave DFT calculation with PBE was carried out for a geometry-optimized Ca2NbSe structure.

Results
Raw formation energy = -275 meV per atom
Spin magnetization = 0.233 μB/atom
Mass density = 4.19 Mg/m³
Calculated total energy = -4.6645 eV/atom

Lattice parameters (Å, degrees): 3.4597 3.4597 8.3524 90.00 90.00 90.00
Closest atoms and distances in Å follow each position.
Space group P4/mmm (No. 123)
Asymmetric unit:
Ca 0.0000 0.0000 0.2116 x2  4 Se 3.02
Nb 0.5000 0.5000 0.5000 x1  8 Ca 3.43, 4 Nb 3.46
Se 0.5000 0.5000 0.0000 x1  8 Ca 3.02


A plane-wave DFT calculation with PBE was carried out for a geometry-optimized Ca2NbSe structure.

Results
Raw formation energy = 40 meV per atom
Spin magnetization = 0.674 μB/atom
Mass density = 3.23 Mg/m³
Calculated total energy = -4.3495 eV/atom

Lattice parameters (Å, degrees): 10.1793 10.1793 5.0074 90.00 90.00 90.00
Closest atoms and distances in Å follow each position.
Space group I-42d (No. 122)
Asymmetric unit:
Ca 0.1163 0.2500 0.1250 x8  2 Se 2.88
Nb 0.0000 0.0000 0.5000 x4  2 Se 2.50
Se 0.0000 0.0000 0.0000 x4  2 Nb 2.50


A plane-wave DFT calculation with PBE was carried out for a geometry-optimized CaNbSe structure.

Results
Polymorph energy (0 for the lowest one) = 468.1 meV/atom
Raw formation energy = -209 meV per atom
Spin magnetization = 0.000 μB/atom
Mass density = 4.87 Mg/m³
Calculated total energy = -5.3943 eV/atom

Lattice parameters (Å, degrees): 4.3867 4.3867 4.3358 90.00 90.00 120.00
Closest atoms and distances in Å follow each position.
Space group P-6m2 (No. 187)
Asymmetric unit:
Ca 0.0000 0.0000 0.0000 x1  6 Se 3.33, 6 Nb 3.33
Nb 0.3333 0.6667 0.5000 x1  3 Se 2.53
Se 0.6667 0.3333 0.5000 x1  3 Nb 2.53


A plane-wave DFT calculation with PBE was carried out for a geometry-optimized CaNbSe structure.

Results
Polymorph energy (0 for the lowest one) = 0.0 meV/atom
Raw formation energy = -677 meV per atom
Spin magnetization = 0.000 μB/atom
Mass density = 4.91 Mg/m³
Calculated total energy = -5.8624 eV/atom

Lattice parameters (Å, degrees): 3.9925 3.9925 9.0013 90.00 90.00 90.00
Closest atoms and distances in Å follow each position.
Space group P4/nmm (No. 129, origin choice 2)
Asymmetric unit:
Ca 0.2500 0.2500 0.1636 x2  4 Se 3.05
Nb 0.2500 0.7500 0.5000 x2  4 Se 2.73, 4 Nb 2.82
Se 0.2500 0.2500 0.7075 x2  4 Nb 2.73, 4 Ca 3.05


A plane-wave DFT calculation with PBE was carried out for a geometry-optimized CaNbTc2Se structure.

Results
Raw formation energy = 2410 meV per atom
Spin magnetization = 0.331 μB/atom
Mass density = 6.12 Mg/m³
Calculated total energy = -4.8474 eV/atom

Lattice parameters (Å, degrees): 4.6562 4.6562 5.1068 90.00 90.00 90.00
Closest atoms and distances in Å follow each position.
Space group P4/mmm (No. 123)
Asymmetric unit:
Ca 0.0000 0.0000 0.0000 x1  4 Tc 2.33, 2 Nb 2.55
Nb 0.0000 0.0000 0.5000 x1  2 Ca 2.55
Tc 0.0000 0.5000 0.0000 x2  2 Ca 2.33
Se 0.5000 0.5000 0.5000 x1  4 Nb 3.29, 8 Tc 3.46


A plane-wave DFT calculation with PBE was carried out for a geometry-optimized Ca3NbTl3Se8 structure.

Results
Raw formation energy = -1026 meV per atom
Spin magnetization = 0.000 μB/atom
Mass density = 5.53 Mg/m³
Calculated total energy = -4.4295 eV/atom

Lattice parameters (Å, degrees): 8.4330 8.4330 21.3338 90.00 90.00 120.00
Closest atoms and distances in Å follow each position.
Space group R-3m (No. 166, hexagonal axes)
Asymmetric unit:
Ca 0.0000 0.5000 0.0000 x9  6 Se 2.90-3.01
Nb 0.0000 0.0000 0.0000 x3  6 Se 2.63
Tl 0.0000 0.5000 0.5000 x9  6 Se 3.07-3.14
Se 0.0000 0.0000 0.2598 x6  3 Ca 2.90, 3 Tl 3.14
Se 0.0402 0.5201 0.7382 x18  1 Nb 2.63


A plane-wave DFT calculation with PBE was carried out for a geometry-optimized Ca2NbTl3Se6 structure.

Results
Raw formation energy = -1008 meV per atom
Spin magnetization = 0.000 μB/atom
Mass density = 6.22 Mg/m³
Calculated total energy = -4.5149 eV/atom

Lattice parameters (Å, degrees): 7.1991 12.3927 7.9029 90.00 107.38 90.00
Closest atoms and distances in Å follow each position.
Space group C2/m (No. 12)
Asymmetric unit:
Ca 0.0000 0.1657 0.0000 x4  6 Se 2.95-2.97
Nb 0.0000 0.5000 0.0000 x2  6 Se 2.63-2.67
Tl 0.0000 0.0000 0.5000 x2  6 Se 3.20-3.42
Tl 0.0000 0.3301 0.5000 x4  6 Se 3.19-3.44
Se 0.2172 0.3505 0.2020 x8  1 Nb 2.63, 1 Ca 2.95
Se 0.2297 0.5000 0.7899 x4  1 Nb 2.67, 2 Ca 2.97


A plane-wave DFT calculation with PBE was carried out for a geometry-optimized Ca2NbVSe structure.

Results
Raw formation energy = 530 meV per atom
Spin magnetization = 0.931 μB/atom
Mass density = 3.66 Mg/m³
Calculated total energy = -4.8054 eV/atom

Lattice parameters (Å, degrees): 5.4645 5.4645 4.6025 90.00 90.00 90.00
Closest atoms and distances in Å follow each position.
Space group P4/mmm (No. 123)
Asymmetric unit:
Ca 0.0000 0.5000 0.0000 x2  2 Se 2.73
Nb 0.0000 0.0000 0.5000 x1  8 Ca 3.57, 4 V 3.86
V 0.5000 0.5000 0.5000 x1  2 Se 2.30
Se 0.5000 0.5000 0.0000 x1  2 V 2.30


A plane-wave DFT calculation with PBE was carried out for a geometry-optimized CaZrNb2Se structure.

Results
Raw formation energy = 1197 meV per atom
Spin magnetization = 0.000 μB/atom
Mass density = 4.59 Mg/m³
Calculated total energy = -5.6378 eV/atom

Lattice parameters (Å, degrees): 4.8444 4.8444 6.1055 90.00 90.00 90.00
Closest atoms and distances in Å follow each position.
Space group P4/mmm (No. 123)
Asymmetric unit:
Ca 0.0000 0.0000 0.0000 x1  2 Zr 3.05
Zr 0.0000 0.0000 0.5000 x1  4 Nb 2.42
Nb 0.0000 0.5000 0.5000 x2  2 Zr 2.42
Se 0.5000 0.5000 0.0000 x1  4 Ca 3.43


A plane-wave DFT calculation with PBE was carried out for a geometry-optimized CaNb2Si2 structure.

Results
Raw formation energy = -350 meV per atom
Spin magnetization = 0.000 μB/atom
Mass density = 5.29 Mg/m³
Calculated total energy = -6.9475 eV/atom

Lattice parameters (Å, degrees): 7.1949 7.1949 3.4175 90.00 90.00 90.00
Closest atoms and distances in Å follow each position.
Space group P4/mbm (No. 127)
Asymmetric unit:
Ca 0.0000 0.0000 0.0000 x2  4 Si 2.86, 8 Nb 3.18
Nb 0.1660 0.3340 0.5000 x4  6 Si 2.71-2.75
Si 0.1223 0.6223 0.0000 x4  1 Si 2.49, 6 Nb 2.71-2.75


A plane-wave DFT calculation with PBE was carried out for a geometry-optimized Ca3NbSi structure.

Results
Polymorph energy (0 for the lowest one) = 0.0 meV/atom
Raw formation energy = 621 meV per atom
Spin magnetization = 0.998 μB/atom
Mass density = 2.26 Mg/m³
Calculated total energy = -3.6780 eV/atom

Lattice parameters (Å, degrees): 5.6141 5.6141 5.6141 90.00 90.00 90.00
Closest atoms and distances in Å follow each position.
Space group Pm-3m (No. 221)
Asymmetric unit:
Ca 0.0000 0.0000 0.5000 x3  2 Si 2.81
Nb 0.5000 0.5000 0.5000 x1  12 Ca 3.97
Si 0.0000 0.0000 0.0000 x1  6 Ca 2.81


A plane-wave DFT calculation with PBE was carried out for a geometry-optimized CaNb2Si structure.

Results
Raw formation energy = 551 meV per atom
Spin magnetization = 0.000 μB/atom
Mass density = 4.34 Mg/m³
Calculated total energy = -6.3396 eV/atom

Lattice parameters (Å, degrees): 4.4820 4.4820 19.3384 90.00 90.00 90.00
Closest atoms and distances in Å follow each position.
Space group I-42d (No. 122)
Asymmetric unit:
Ca 0.0000 0.0000 0.0000 x4  4 Si 3.17, 4 Nb 3.21
Nb 0.0998 0.2500 0.6250 x8  2 Nb 2.41, 2 Si 2.70
Si 0.0000 0.0000 0.5000 x4  4 Nb 2.70


A plane-wave DFT calculation with PBE was carried out for a geometry-optimized Ca2NbSi structure.

Results
Raw formation energy = 505 meV per atom
Spin magnetization = 0.750 μB/atom
Mass density = 2.47 Mg/m³
Calculated total energy = -4.3689 eV/atom

Lattice parameters (Å, degrees): 10.3690 10.3690 5.0336 90.00 90.00 90.00
Closest atoms and distances in Å follow each position.
Space group I-42d (No. 122)
Asymmetric unit:
Ca 0.1084 0.2500 0.1250 x8  2 Si 2.89
Nb 0.0000 0.0000 0.5000 x4  2 Si 2.52
Si 0.0000 0.0000 0.0000 x4  2 Nb 2.52


A plane-wave DFT calculation with PBE was carried out for a geometry-optimized Ca3NbSi structure.

Results
Polymorph energy (0 for the lowest one) = 530.3 meV/atom
Raw formation energy = 1152 meV per atom
Spin magnetization = 0.000 μB/atom
Mass density = 2.48 Mg/m³
Calculated total energy = -3.1477 eV/atom

Lattice parameters (Å, degrees): 5.4458 5.4458 5.4458 90.00 90.00 90.00
Closest atoms and distances in Å follow each position.
Space group Pm-3m (No. 221)
Asymmetric unit:
Ca 0.0000 0.0000 0.5000 x3  2 Nb 2.72
Nb 0.0000 0.0000 0.0000 x1  6 Ca 2.72
Si 0.5000 0.5000 0.5000 x1  12 Ca 3.85